No. 1
Computed, not measured: a relaxed Pm2Tl2Pb crystal at the PBE level of DFT.

Structure (POSCAR):
```
Pm2Tl2Pb
1.0
4.439 0.000 0.000
0.000 -8.444 0.000
0.000 0.000 -8.444
Pm Tl Pb
4 4 2
direct
0.000 0.845 0.345 Pm
0.000 0.155 0.655 Pm
0.000 0.345 0.155 Pm
0.000 0.655 0.845 Pm
0.500 0.649 0.149 Tl
0.500 0.351 0.851 Tl
0.500 0.851 0.649 Tl
0.500 0.149 0.351 Tl
0.000 0.000 0.000 Pb
0.000 0.500 0.500 Pb
```

## Properties
E above lowest polymorph in meV/atom: 0.0

No. 2
Computed, not measured: a relaxed SmZrPS crystal at the PBE level of DFT.

Structure (POSCAR):
```
SmZrPS
1.0
-0.037 -4.590 0.281
3.134 -2.469 -2.286
7.232 -1.912 7.356
Zr Sm S P
2 2 2 2
direct
0.798 0.798 0.607 Zr
0.202 0.202 0.393 Zr
0.614 0.614 0.159 Sm
0.386 0.386 0.841 Sm
0.294 0.294 0.117 S
0.706 0.706 0.883 S
0.117 0.117 0.649 P
0.883 0.883 0.351 P
```

## Properties
ΔE_f (raw) in meV per atom: -1390

No. 3
Computed, not measured: a relaxed Ca2FeMoS crystal at the PBE level of DFT.

Structure (POSCAR):
```
Ca2FeMoS
1.0
5.251 0.000 0.000
0.000 4.485 0.000
0.000 0.000 5.251
Ca S Mo Fe
2 1 1 1
direct
0.500 0.000 0.000 Ca
0.000 0.000 0.500 Ca
0.000 0.000 0.000 S
0.000 0.500 0.000 Mo
0.500 0.500 0.500 Fe
```

## Properties
ΔE_f (raw) in meV per atom: 281

No. 4
Computed, not measured: a relaxed Ce4SiOs crystal at the PBE level of DFT.

Structure (POSCAR):
```
Ce4SiOs
1.0
-3.857 1.727 -4.092
3.861 -5.497 -3.478
-4.427 -2.556 5.575
Ce Si Os
8 2 2
direct
0.579 0.320 0.937 Ce
0.184 0.391 0.216 Ce
0.421 0.680 0.063 Ce
0.079 0.937 0.320 Ce
0.816 0.609 0.784 Ce
0.921 0.063 0.680 Ce
0.684 0.216 0.391 Ce
0.316 0.784 0.609 Ce
0.250 0.384 0.616 Si
0.750 0.616 0.384 Si
0.750 0.001 0.999 Os
0.250 0.999 0.001 Os
```

## Properties
E above lowest polymorph in meV/atom: 0.0
ΔE_f (raw) in meV per atom: -350

No. 5
Computed, not measured: a relaxed YGe2Au crystal at the PBE level of DFT.

Structure (POSCAR):
```
YGe2Au
1.0
-1.329 0.413 3.885
3.987 -1.184 1.490
1.264 4.233 -0.018
Au Ge Y
1 2 1
direct
0.500 0.500 0.500 Au
0.000 0.000 0.500 Ge
0.000 0.500 0.000 Ge
0.500 0.000 0.000 Y
```

## Properties
E above lowest polymorph in meV/atom: 0.0

No. 6
Computed, not measured: a relaxed Y2ThNb crystal at the PBE level of DFT.

Structure (POSCAR):
```
Y2ThNb
1.0
-0.340 -0.334 -3.307
2.628 -0.871 -1.871
-1.963 -11.669 -0.308
Th Nb Y
1 1 2
direct
0.500 0.500 0.500 Th
0.000 0.000 0.000 Nb
0.083 0.083 0.750 Y
0.917 0.917 0.250 Y
```

## Properties
Total DFT energy (no corrections) in eV/atom: -7.040

No. 7
Computed, not measured: a relaxed SrLiLa2 crystal at the PBE level of DFT.

Structure (POSCAR):
```
SrLiLa2
1.0
-2.369 -4.229 -0.020
2.865 -1.614 1.943
-0.707 0.355 8.754
La Sr Li
2 1 1
direct
0.500 0.260 0.241 La
0.000 0.949 0.053 La
0.500 0.767 0.732 Sr
0.000 0.525 0.474 Li
```

## Properties
E above lowest polymorph in meV/atom: 53.4

No. 8
Computed, not measured: a relaxed TlAs2Ir crystal at the PBE level of DFT.

Structure (POSCAR):
```
TlAs2Ir
1.0
3.990 -0.015 0.037
2.249 3.296 0.037
1.766 0.929 6.857
As Tl Ir
2 1 1
direct
0.478 0.478 0.586 As
0.022 0.022 0.914 As
0.250 0.250 0.250 Tl
0.750 0.750 0.750 Ir
```

## Properties
E above lowest polymorph in meV/atom: 0.0

No. 9
Computed, not measured: a relaxed BaCa3Pd crystal at the PBE level of DFT.

Structure (POSCAR):
```
BaCa3Pd
1.0
-7.497 15.979 -15.452
-3.513 2.291 -8.181
-0.386 -4.067 8.235
Ca Ba Pd
6 2 2
direct
0.819 0.752 0.248 Ca
0.461 0.460 0.540 Ca
0.341 0.397 0.603 Ca
0.659 0.603 0.397 Ca
0.539 0.540 0.460 Ca
0.181 0.248 0.752 Ca
0.122 0.008 0.992 Ba
0.878 0.992 0.008 Ba
0.645 0.807 0.193 Pd
0.355 0.193 0.807 Pd
```

## Properties
E above lowest polymorph in meV/atom: 45.8

No. 10
Computed, not measured: a relaxed YZnHg3 crystal at the PBE level of DFT.

Structure (POSCAR):
```
YZnHg3
1.0
6.012 0.000 0.000
0.000 6.012 0.000
0.000 0.000 6.012
Zn Y Hg
1 1 3
direct
0.500 0.500 0.500 Zn
0.000 0.000 0.000 Y
0.500 0.000 0.000 Hg
0.000 0.500 0.000 Hg
0.000 0.000 0.500 Hg
```

## Properties
E above lowest polymorph in meV/atom: 686.2

No. 11
Computed, not measured: a relaxed Ba2Ca2Cl crystal at the PBE level of DFT.

Structure (POSCAR):
```
Ba2Ca2Cl
1.0
8.445 0.000 0.000
0.000 8.445 0.000
0.000 0.000 7.133
Ba Ca Cl
4 4 2
direct
0.329 0.829 0.000 Ba
0.671 0.171 0.000 Ba
0.171 0.329 0.000 Ba
0.829 0.671 0.000 Ba
0.847 0.347 0.500 Ca
0.653 0.847 0.500 Ca
0.153 0.653 0.500 Ca
0.347 0.153 0.500 Ca
0.000 0.000 0.000 Cl
0.500 0.500 0.000 Cl
```

## Properties
E above lowest polymorph in meV/atom: 0.0
ΔE_f (raw) in meV per atom: -507

No. 12
Computed, not measured: a relaxed BaZn2Ni crystal at the PBE level of DFT.

Structure (POSCAR):
```
BaZn2Ni
1.0
-4.872 0.878 -2.298
1.187 -1.971 -4.949
-0.296 -1.953 5.088
Ni Zn Ba
1 2 1
direct
0.250 0.750 0.500 Ni
0.081 0.081 0.000 Zn
0.419 0.419 0.000 Zn
0.750 0.250 0.500 Ba
```

## Properties
Total DFT energy (no corrections) in eV/atom: -2.491

Number 1: density 9.5 Mg/m³, V 31.6 A^3/atom. Number 2: density 5.4 Mg/m³, V 23.2 A^3/atom. Number 3: density 3.5 Mg/m³, V 24.7 A^3/atom. Number 4: density 9.2 Mg/m³, V 23.5 A^3/atom. Number 5: density 8.9 Mg/m³, V 20.1 A^3/atom. Number 6: density 7.4 Mg/m³, V 28.2 A^3/atom. Number 7: density 4.2 Mg/m³, V 36.7 A^3/atom. Number 8: density 10.1 Mg/m³, V 22.5 A^3/atom. Number 9: density 3.1 Mg/m³, V 38.6 A^3/atom. Number 10: density 5.8 Mg/m³, V 43.5 A^3/atom. Number 11: density 2.5 Mg/m³, V 50.9 A^3/atom. Number 12: density 5.5 Mg/m³, V 24.7 A^3/atom.